[1]
# CsK2NaAu PBE optimized geometry
# M_tot: 0.000 μB/atom
# Crystal system: monoclinic
# ΔE to the lowest computed polymorph: 8.5 meV per atom
# Uncorrected energy: -1.618 eV/atom
data_CsK2NaAu
_chemical_formula_sum 'Cs2 K4 Na2 Au2'
_cell_length_a 9.378
_cell_length_b 5.060
_cell_length_c 12.714
_cell_angle_alpha 90.00
_cell_angle_beta 111.60
_cell_angle_gamma 90.00
_space_group_name_H-M_alt 'P 1 21/m 1'
_space_group_IT_number 11
_space_group_name_Hall '-P 2yb'
loop_
_atom_site_label
_atom_site_type_symbol
_atom_site_fract_x
_atom_site_fract_y
_atom_site_fract_z
Cs1 Cs 0.048 0.250 0.353
K1 K 0.446 0.750 0.855
K2 K 0.466 0.750 0.368
Na1 Na 0.152 0.750 0.050
Au1 Au 0.283 0.750 0.558

[2]
# CsKNaAu2 PBE optimized geometry
# M_tot: 0.000 μB/atom
# Crystal system: trigonal
# Uncorrected energy: -2.174 eV/atom
data_CsKNaAu2
_chemical_formula_sum 'Cs1 K1 Na1 Au2'
_cell_length_a 5.0959
_cell_length_b 5.0959
_cell_length_c 9.3875
_cell_angle_alpha 90.00
_cell_angle_beta 90.00
_cell_angle_gamma 120.00
_space_group_name_H-M_alt 'P 3 m 1'
_space_group_IT_number 156
_space_group_name_Hall 'P 3 -2"'
loop_
_atom_site_label
_atom_site_type_symbol
_atom_site_fract_x
_atom_site_fract_y
_atom_site_fract_z
Cs1 Cs 0.0000 0.0000 0.0000
K1 K 0.6667 0.3333 0.3990
Na1 Na 0.3333 0.6667 0.6823
Au1 Au 0.3333 0.6667 0.2443
Au2 Au 0.6667 0.3333 0.7490

[3]
# Cs2KAuO PBE optimized geometry
# M_tot: 0.000 μB/atom
# Crystal system: tetragonal
# Uncorrected energy: -2.912 eV/atom
# Raw formation energy: -0.704 eV per atom
data_Cs2KAuO
_chemical_formula_sum 'Cs2 K1 Au1 O1'
_cell_length_a 5.967
_cell_length_b 5.967
_cell_length_c 5.273
_cell_angle_alpha 90.00
_cell_angle_beta 90.00
_cell_angle_gamma 90.00
_space_group_name_H-M_alt 'P 4/m m m'
_space_group_IT_number 123
_space_group_name_Hall '-P 4 2'
loop_
_atom_site_label
_atom_site_type_symbol
_atom_site_fract_x
_atom_site_fract_y
_atom_site_fract_z
Cs1 Cs 0.000 0.500 0.000
K1 K 0.000 0.000 0.500
Au1 Au 0.500 0.500 0.500
O1 O 0.000 0.000 0.000

no.,N(E_F) (states/eV per cell)
1,7.3
2,3.1
3,1.8